1.
A relaxed ReIr crystal, computed with PBE-GGA.

Cell lengths 3.645, 3.645, 3.645 Å; angles 60.00, 60.00, 60.00 degrees
Sites, in units of the cell vectors:
Re 0.500 0.500 0.500
Ir 0.000 0.000 0.000

**SG**: Fm-3m (225)
**Total DFT energy (no corrections)**: -9.459 eV/atom
**Formation energy from the elements**: 1.195 eV per atom

***

2.
A relaxed ReIr crystal, computed with PBE-GGA.

Cell lengths 9.587, 9.587, 3.980 Å; angles 90.00, 90.00, 120.00 degrees
Sites, in units of the cell vectors:
Re 0.361 0.939 0.750
Re 0.578 0.639 0.750
Re 0.939 0.578 0.250
Re 0.639 0.061 0.250
Re 0.422 0.361 0.250
Re 0.061 0.422 0.750
Ir 0.303 0.403 0.750
Ir 0.403 0.099 0.250
Ir 0.099 0.697 0.750
Ir 0.901 0.303 0.250
Ir 0.697 0.597 0.250
Ir 0.597 0.901 0.750

**SG**: P6_3/m (176)
**Total DFT energy (no corrections)**: -9.413 eV/atom
**Formation energy from the elements**: 1.242 eV per atom

***

3.
A relaxed ReIr5 crystal, computed with PBE-GGA.

Cell lengths 2.738, 2.738, 11.666 Å; angles 90.00, 90.00, 90.00 degrees
Sites, in units of the cell vectors:
Ir 0.500 0.500 0.336
Ir 0.000 0.000 0.164
Ir 0.500 0.500 0.664
Ir 0.000 0.000 0.836
Ir 0.000 0.000 0.500
Re 0.500 0.500 0.000

**SG**: P4/mmm (123)
**Total DFT energy (no corrections)**: -9.533 eV/atom
**Formation energy from the elements**: -0.074 eV per atom

***

4.
A relaxed ReIr crystal, computed with PBE-GGA.

Cell lengths 4.397, 2.743, 4.839 Å; angles 90.00, 90.00, 90.00 degrees
Sites, in units of the cell vectors:
Re 0.750 0.000 0.163
Re 0.250 0.000 0.837
Ir 0.250 0.500 0.333
Ir 0.750 0.500 0.667

**SG**: Pmma (51)
**Total DFT energy (no corrections)**: -10.931 eV/atom
**Formation energy from the elements**: -0.276 eV per atom

***

5.
A relaxed ReIr crystal, computed with PBE-GGA.

Cell lengths 2.727, 4.754, 4.797 Å; angles 99.09, 90.00, 106.67 degrees
Sites, in units of the cell vectors:
Ir 0.003 0.007 0.010
Ir 0.247 0.493 0.740
Re 0.750 0.501 0.242
Re 0.500 0.999 0.508

**SG**: C2/m (12)
**Total DFT energy (no corrections)**: -10.778 eV/atom
**Formation energy from the elements**: -0.124 eV per atom

***

6.
A relaxed ReIr crystal, computed with PBE-GGA.

Cell lengths 4.310, 4.310, 8.017 Å; angles 90.00, 90.00, 120.00 degrees
Sites, in units of the cell vectors:
Re 0.000 0.000 0.250
Re 0.667 0.333 0.250
Re 0.333 0.667 0.750
Re 0.000 0.000 0.750
Ir 0.333 0.667 0.413
Ir 0.667 0.333 0.587
Ir 0.333 0.667 0.087
Ir 0.667 0.333 0.913

**SG**: P6_3/mmc (194)
**Total DFT energy (no corrections)**: -10.241 eV/atom
**Formation energy from the elements**: 0.413 eV per atom